A plane-wave DFT calculation with PBE was carried out for CaZrBeS2 after structural relaxation.

Structure (CIF):
```
data_CaZrBeS2
_chemical_formula_sum 'Ca1 Zr1 Be1 S2'
_space_group_name_H-M_alt 'P 4/m m m'
_space_group_IT_number 123
_space_group_name_Hall '-P 4 2'
_cell_length_a 4.9803
_cell_length_b 4.9803
_cell_length_c 4.6946
_cell_angle_alpha 90.00
_cell_angle_beta 90.00
_cell_angle_gamma 90.00
loop_
_atom_site_label
_atom_site_type_symbol
_atom_site_fract_x
_atom_site_fract_y
_atom_site_fract_z
_atom_site_occupancy
Ca1 Ca 0.0000 0.0000 0.0000 1
Zr1 Zr 0.5000 0.5000 0.5000 1
Be1 Be 0.5000 0.5000 0.0000 1
S1 S 0.0000 0.5000 0.5000 1
```

A plane-wave DFT calculation with PBE was carried out for CaBeSb2 after structural relaxation.

Structure (CIF):
```
data_CaBeSb2
_chemical_formula_sum 'Ca1 Be1 Sb2'
_space_group_name_H-M_alt 'P 1 2 1'
_space_group_IT_number 3
_cell_length_a 3.2458
_cell_length_b 8.9025
_cell_length_c 3.4166
_cell_angle_alpha 90.00
_cell_angle_beta 94.14
_cell_angle_gamma 90.00
loop_
_space_group_symop_operation_xyz
'x,y,z'
'-x,y,-z'
loop_
_atom_site_label
_atom_site_type_symbol
_atom_site_fract_x
_atom_site_fract_y
_atom_site_fract_z
_atom_site_occupancy
Ca1 Ca 0.0000 0.0000 0.0000 1
Be1 Be 0.5000 0.2307 0.5000 1
Sb1 Sb 0.0000 0.3801 0.0000 1
Sb2 Sb 0.5000 0.7360 0.5000 1
```

A plane-wave DFT calculation with PBE was carried out for CaBeSb after structural relaxation.

Structure (CIF):
```
data_CaBeSb
_chemical_formula_sum 'Ca2 Be2 Sb2'
_space_group_name_H-M_alt 'I 4 m m'
_space_group_IT_number 107
_space_group_name_Hall 'I 4 -2'
_cell_length_a 3.5984
_cell_length_b 3.5984
_cell_length_c 10.6190
_cell_angle_alpha 90.00
_cell_angle_beta 90.00
_cell_angle_gamma 90.00
loop_
_atom_site_label
_atom_site_type_symbol
_atom_site_fract_x
_atom_site_fract_y
_atom_site_fract_z
_atom_site_occupancy
Ca1 Ca 0.0000 0.0000 0.0000 1
Be1 Be 0.0000 0.0000 0.2951 1
Sb1 Sb 0.0000 0.0000 0.7079 1
```

Calculated values
Relative energy among the computed polymorphs (meV/atom): 438

A plane-wave DFT calculation with PBE was carried out for CaBeSb after structural relaxation.

Structure (CIF):
```
data_CaBeSb
_chemical_formula_sum 'Ca1 Be1 Sb1'
_space_group_name_H-M_alt 'P -6 m 2'
_space_group_IT_number 187
_space_group_name_Hall 'P -6 2'
_cell_length_a 4.1723
_cell_length_b 4.1723
_cell_length_c 4.4776
_cell_angle_alpha 90.00
_cell_angle_beta 90.00
_cell_angle_gamma 120.00
loop_
_atom_site_label
_atom_site_type_symbol
_atom_site_fract_x
_atom_site_fract_y
_atom_site_fract_z
_atom_site_occupancy
Ca1 Ca 0.0000 0.0000 0.0000 1
Be1 Be 0.3333 0.6667 0.5000 1
Sb1 Sb 0.6667 0.3333 0.5000 1
```

Calculated values
Relative energy among the computed polymorphs (meV/atom): 0

A plane-wave DFT calculation with PBE was carried out for CaBeSb2 after structural relaxation.

Structure (CIF):
```
data_CaBeSb2
_chemical_formula_sum 'Ca2 Be2 Sb4'
_space_group_name_H-M_alt 'I 4/m m m'
_space_group_IT_number 139
_space_group_name_Hall '-I 4 2'
_cell_length_a 4.5262
_cell_length_b 4.5262
_cell_length_c 9.3156
_cell_angle_alpha 90.00
_cell_angle_beta 90.00
_cell_angle_gamma 90.00
loop_
_atom_site_label
_atom_site_type_symbol
_atom_site_fract_x
_atom_site_fract_y
_atom_site_fract_z
_atom_site_occupancy
Ca1 Ca 0.0000 0.0000 0.0000 1
Be1 Be 0.0000 0.0000 0.5000 1
Sb1 Sb 0.0000 0.5000 0.2500 1
```

A plane-wave DFT calculation with PBE was carried out for CaBeSb3 after structural relaxation.

Structure (CIF):
```
data_CaBeSb3
_chemical_formula_sum 'Ca1 Be1 Sb3'
_space_group_name_H-M_alt 'P m -3 m'
_space_group_IT_number 221
_space_group_name_Hall '-P 4 2 3'
_cell_length_a 5.6871
_cell_length_b 5.6871
_cell_length_c 5.6871
_cell_angle_alpha 90.00
_cell_angle_beta 90.00
_cell_angle_gamma 90.00
loop_
_atom_site_label
_atom_site_type_symbol
_atom_site_fract_x
_atom_site_fract_y
_atom_site_fract_z
_atom_site_occupancy
Ca1 Ca 0.0000 0.0000 0.0000 1
Be1 Be 0.5000 0.5000 0.5000 1
Sb1 Sb 0.0000 0.0000 0.5000 1
```

Calculated values
Relative energy among the computed polymorphs (meV/atom): 1084

One value per record, in order, for formation energy without anion corrections: -0.583, 0.098, -0.012, -0.450, 0.033, 1.121 eV/atom.
One value per record, in order, for ρ: 2.9, 4.9, 4.1, 4.2, 5.1, 3.7 Mg/m³.